No. 1
The following is a meta-GGA SCAN calculation of a PBEsol-optimized structure of GeSb2H, from Alexandria.

DFT total energy: -23.688 eV/atom
V: 76.0 Å³ per cell
crystal system: cubic

abc: 4.7548 4.7548 4.7548
angles: 60.00 60.00 60.00
Closest atoms and distances in Å follow each position.
Fractional coordinates of all 4 atoms:
Sb1 0.2500 0.2500 0.2500  4 Ge 2.91, 4 H 2.91
Sb2 0.7500 0.7500 0.7500  4 H 2.91, 4 Ge 2.91
Ge1 0.5000 0.5000 0.5000  8 Sb 2.91
H1 0.0000 0.0000 0.0000  8 Sb 2.91

---

No. 2
The following is a meta-GGA SCAN calculation of a PBEsol-optimized structure of CaAlIr2, from Alexandria.

DFT total energy: -40.178 eV/atom
V: 64.0 Å³ per cell
crystal system: trigonal

abc: 2.9312 2.9312 8.7643
angles: 80.37 80.37 60.00
Closest atoms and distances in Å follow each position.
Fractional coordinates of all 4 atoms:
Ca1 0.0000 0.0000 0.0000  6 Ir 2.92, 6 Ca 2.93
Ir1 0.2409 0.2409 0.2774  3 Al 2.56
Ir2 0.7591 0.7591 0.7226  3 Al 2.56
Al1 0.5000 0.5000 0.5000  6 Ir 2.56

---

No. 3
The following is a meta-GGA SCAN calculation of a PBEsol-optimized structure of KRu2Rh, from Alexandria.

DFT total energy: -26.713 eV/atom
V: 62.9 Å³ per cell
crystal system: orthorhombic

abc: 2.7292 4.7237 4.8811
angles: 90.00 90.00 90.00
Closest atoms and distances in Å follow each position.
Fractional coordinates of all 4 atoms:
K1 0.5000 0.0000 0.5000  4 Rh 2.73, 2 K 2.73, 4 Ru 2.80
Rh1 0.0000 0.5000 0.5000  4 K 2.73, 2 Rh 2.73, 4 Ru 2.80
Ru1 0.0000 0.0000 0.0000  6 Ru 2.73, 4 K 2.80
Ru2 0.5000 0.5000 0.0000  6 Ru 2.73, 4 Rh 2.80

---

No. 4
The following is a meta-GGA SCAN calculation of a PBEsol-optimized structure of Si2Ni2Pd, from Alexandria.

DFT total energy: -17.593 eV/atom
formation energy without anion corrections: -0.562 eV/atom
V: 118.2 Å³ per cell
crystal system: tetragonal

abc: 2.7775 6.5230 6.5230
angles: 90.00 90.00 90.00
Closest atoms and distances in Å follow each position.
Fractional coordinates of all 10 atoms:
Ni1 0.5000 0.1399 0.6399  6 Si 2.35-2.38, 1 Ni 2.58
Ni2 0.5000 0.6399 0.8601  6 Si 2.35-2.38, 1 Ni 2.58
Ni3 0.5000 0.8601 0.3601  6 Si 2.35-2.38, 1 Ni 2.58
Ni4 0.5000 0.3601 0.1399  6 Si 2.35-2.38, 1 Ni 2.58
Si1 0.0000 0.3493 0.8493  6 Ni 2.35-2.38, 2 Pd 2.48
Si2 0.0000 0.8493 0.6507  6 Ni 2.35-2.38, 2 Pd 2.48
Si3 0.0000 0.6507 0.1507  6 Ni 2.35-2.38, 2 Pd 2.48
Si4 0.0000 0.1507 0.3493  6 Ni 2.35-2.38, 2 Pd 2.48
Pd1 0.0000 0.0000 0.0000  4 Si 2.48, 2 Pd 2.78
Pd2 0.0000 0.5000 0.5000  4 Si 2.48, 2 Pd 2.78

---

No. 5
The following is a meta-GGA SCAN calculation of a PBEsol-optimized structure of Zr2ZnP, from Alexandria.

DFT total energy: -21.663 eV/atom
V: 72.5 Å³ per cell
crystal system: orthorhombic

abc: 3.1956 3.1956 7.3021
angles: 90.00 90.00 103.42
Closest atoms and distances in Å follow each position.
Fractional coordinates of all 4 atoms:
P1 0.0000 0.0000 0.4813  2 Zn 2.43, 2 Zr 2.55
Zn1 0.5000 0.5000 0.2874  2 P 2.43
Zr1 0.0000 0.0000 0.0289  2 Zn 2.74
Zr2 0.5000 0.5000 0.7024  2 P 2.55

---

No. 6
The following is a meta-GGA SCAN calculation of a PBEsol-optimized structure of LaS3O, from Alexandria.

DFT total energy: -16.444 eV/atom
formation energy without anion corrections: -0.800 eV/atom
V: 83.7 Å³ per cell
crystal system: cubic

abc: 4.3752 4.3752 4.3752
angles: 90.00 90.00 90.00
Closest atoms and distances in Å follow each position.
Fractional coordinates of all 5 atoms:
S1 0.0000 0.5000 0.0000  2 O 2.19
S2 0.0000 0.0000 0.5000  2 O 2.19
S3 0.5000 0.0000 0.0000  2 O 2.19
O1 0.0000 0.0000 0.0000  6 S 2.19
La1 0.5000 0.5000 0.5000  12 S 3.09

---

No. 7
The following is a meta-GGA SCAN calculation of a PBEsol-optimized structure of FeCu2Si, from Alexandria.

DFT total energy: -14.615 eV/atom
formation energy without anion corrections: 0.021 eV/atom
V: 44.1 Å³ per cell
crystal system: tetragonal

abc: 2.8522 2.8522 5.4164
angles: 90.00 90.00 90.00
Closest atoms and distances in Å follow each position.
Fractional coordinates of all 4 atoms:
Cu1 0.0000 0.0000 0.9987  4 Cu 2.43, 4 Si 2.50, 1 Fe 2.56
Cu2 0.5000 0.5000 0.2495  4 Cu 2.43, 4 Fe 2.51, 1 Si 2.58
Fe1 0.0000 0.0000 0.5256  4 Si 2.29, 5 Cu 2.51-2.56
Si1 0.5000 0.5000 0.7262  4 Fe 2.29, 4 Cu 2.50

---

No. 8
The following is a meta-GGA SCAN calculation of a PBEsol-optimized structure of LiYAsBr2, from Alexandria.

DFT total energy: -18.873 eV/atom
formation energy without anion corrections: -1.005 eV/atom
V: 166.6 Å³ per cell
crystal system: tetragonal

abc: 5.4896 5.4896 5.5289
angles: 90.00 90.00 90.00
Closest atoms and distances in Å follow each position.
Fractional coordinates of all 5 atoms:
Y1 0.0000 0.0000 0.0000  4 Br 2.74, 2 As 2.76
As1 0.0000 0.0000 0.5000  2 Y 2.76
Br1 0.0000 0.5000 0.0000  2 Y 2.74
Br2 0.5000 0.0000 0.0000  2 Y 2.74
Li1 0.5000 0.5000 0.5000  4 As 3.88, 8 Br 3.90